1.
## As2C (PBE-GGA)

Data for As2C after structural relaxation.

Computed properties:
For the formation energy from the elements, the calculation gives 0.57 eV/atom. The calculation puts the density of states at the Fermi level at 1.057 states/eV/f.u.

The structure in CIF format:
```
data_As2C
_chemical_formula_sum 'As2 C1'
_space_group_name_H-M_alt 'P -4 m 2'
_space_group_IT_number 115
_cell_length_a 3.034
_cell_length_b 3.034
_cell_length_c 6.202
_cell_angle_alpha 90.00
_cell_angle_beta 90.00
_cell_angle_gamma 90.00
loop_
_space_group_symop_operation_xyz
'x,y,z'
'y,-x,-z'
'-x,-y,z'
'-y,x,-z'
'-x,y,z'
'-y,-x,-z'
'x,-y,z'
'y,x,-z'
loop_
_atom_site_label
_atom_site_type_symbol
_atom_site_fract_x
_atom_site_fract_y
_atom_site_fract_z
_atom_site_occupancy
As1 As 0.000 0.500 0.208 1
C1 C 0.500 0.500 0.000 1
```


2.
## AsC (PBE-GGA)

Data for AsC after structural relaxation.

Computed properties:
For the formation energy from the elements, the calculation gives 1.37 eV/atom. The calculation puts the density of states at the Fermi level at 0.976 states/eV/f.u.

The structure in CIF format:
```
data_AsC
_chemical_formula_sum 'As4 C4'
_space_group_name_H-M_alt 'P n m a'
_space_group_IT_number 62
_cell_length_a 5.412
_cell_length_b 3.294
_cell_length_c 6.170
_cell_angle_alpha 90.00
_cell_angle_beta 90.00
_cell_angle_gamma 90.00
loop_
_space_group_symop_operation_xyz
'x,y,z'
'-x,-y,-z'
'-x+1/2,-y,z+1/2'
'x+1/2,y,-z+1/2'
'x+1/2,-y+1/2,-z+1/2'
'-x+1/2,y+1/2,z+1/2'
'-x,y+1/2,-z'
'x,-y+1/2,z'
loop_
_atom_site_label
_atom_site_type_symbol
_atom_site_fract_x
_atom_site_fract_y
_atom_site_fract_z
_atom_site_occupancy
As1 As 0.242 0.250 0.053 1
C1 C 0.134 0.750 0.874 1
```


3.
## AsC (PBE-GGA)

Data for AsC after structural relaxation.

Computed properties:
For the formation energy from the elements, the calculation gives 1.63 eV/atom. The calculation puts the density of states at the Fermi level at 0.475 states/eV/f.u.

The structure in CIF format:
```
data_AsC
_chemical_formula_sum 'As3 C3'
_space_group_name_H-M_alt 'P -6 2 m'
_space_group_IT_number 189
_space_group_name_Hall 'P -6 -2'
_cell_length_a 5.3545
_cell_length_b 5.3545
_cell_length_c 3.0458
_cell_angle_alpha 90.00
_cell_angle_beta 90.00
_cell_angle_gamma 120.00
loop_
_atom_site_label
_atom_site_type_symbol
_atom_site_fract_x
_atom_site_fract_y
_atom_site_fract_z
_atom_site_occupancy
As1 As 0.0000 0.3599 0.0000 1
C1 C 0.0000 0.0000 0.0000 1
C2 C 0.3333 0.6667 0.5000 1
```


4.
## As3C2 (PBE-GGA)

Data for As3C2 after structural relaxation.

Computed properties:
For the formation energy from the elements, the calculation gives 0.96 eV/atom. The calculation puts the density of states at the Fermi level at 1.639 states/eV/f.u.

The structure in CIF format:
```
data_As3C2
_chemical_formula_sum 'As24 C16'
_space_group_name_H-M_alt 'F d d 2'
_space_group_IT_number 43
_space_group_name_Hall 'F 2 -2d'
_cell_length_a 9.858
_cell_length_b 10.851
_cell_length_c 5.877
_cell_angle_alpha 90.00
_cell_angle_beta 90.00
_cell_angle_gamma 90.00
loop_
_atom_site_label
_atom_site_type_symbol
_atom_site_fract_x
_atom_site_fract_y
_atom_site_fract_z
_atom_site_occupancy
As1 As 0.000 0.000 0.000 1
As2 As 0.100 0.204 0.729 1
C1 C 0.074 0.381 0.263 1
```